# PrAg9Au2

A geometry-optimized PrAg9Au2 structure (PBE, Alexandria via LeMat-Bulk).

Unit cell a=5.6234 b=5.6234 c=27.8547 alpha=90.00 beta=90.00 gamma=120.00
Space group R-3m (No. 166, hexagonal axes)
Symmetry-distinct sites (fractional):
Pr (0.0000, 0.0000, 0.0000) [3 per cell]
Ag (0.0000, 0.0000, 0.3329) [6 per cell]
Ag (0.0000, 0.0000, 0.5000) [3 per cell]
Ag (0.0021, 0.5010, 0.9150) [18 per cell]
Au (0.0000, 0.0000, 0.1130) [6 per cell]

**Density of states at the Fermi level**: 15.73 states/eV per cell
**Crystal system**: trigonal
**Formation enthalpy at 0 K**: -0.017 eV/atom
**VASP energy**: -3.10 eV/atom